Entry 1:
## Ca3MgO (GGA-PBEsol)

Data for a relaxed structure of Ca3MgO.

```
data_Ca3MgO
_chemical_formula_sum 'Ca3 Mg1 O1'
_cell_length_a 4.921
_cell_length_b 4.921
_cell_length_c 4.921
_cell_angle_alpha 90.00
_cell_angle_beta 90.00
_cell_angle_gamma 90.00
_symmetry_space_group_name_H-M 'P m -3 m'
_symmetry_Int_Tables_number 221
_symmetry_space_group_name_Hall '-P 4 2 3'
loop_
_atom_site_label
_atom_site_type_symbol
_atom_site_fract_x
_atom_site_fract_y
_atom_site_fract_z
Ca1 Ca 0.000 0.000 0.500
Mg1 Mg 0.500 0.500 0.500
O1 O 0.000 0.000 0.000
```

Output
Mass density = 2.2 g/cm3
Final energy = -3.85 eV/atom
Crystal system = cubic


Entry 2:
## In2TeIr (GGA-PBEsol)

Data for a relaxed structure of In2TeIr.

```
data_In2TeIr
_chemical_formula_sum 'In4 Te2 Ir2'
_cell_length_a 4.385
_cell_length_b 4.385
_cell_length_c 8.539
_cell_angle_alpha 90.00
_cell_angle_beta 90.00
_cell_angle_gamma 90.00
_symmetry_space_group_name_H-M 'I 4/m m m'
_symmetry_Int_Tables_number 139
_symmetry_space_group_name_Hall '-I 4 2'
loop_
_atom_site_label
_atom_site_type_symbol
_atom_site_fract_x
_atom_site_fract_y
_atom_site_fract_z
In1 In 0.000 0.500 0.250
Te1 Te 0.000 0.000 0.000
Ir1 Ir 0.000 0.000 0.500
```

Output
Mass density = 11.1 g/cm3
Final energy = -4.49 eV/atom
Crystal system = tetragonal


Entry 3:
## K2ScPt (GGA-PBEsol)

Data for a relaxed structure of K2ScPt.

```
data_K2ScPt
_chemical_formula_sum 'K6 Sc3 Pt3'
_cell_length_a 3.1683
_cell_length_b 3.1683
_cell_length_c 35.9026
_cell_angle_alpha 90.00
_cell_angle_beta 90.00
_cell_angle_gamma 120.00
_symmetry_space_group_name_H-M 'R -3 m'
_symmetry_Int_Tables_number 166
_symmetry_space_group_name_Hall '-R 3 2"'
loop_
_atom_site_label
_atom_site_type_symbol
_atom_site_fract_x
_atom_site_fract_y
_atom_site_fract_z
K1 K 0.0000 0.0000 0.2362
Sc1 Sc 0.0000 0.0000 0.0000
Pt1 Pt 0.0000 0.0000 0.5000
```

Output
Mass density = 5.1 g/cm3
Energy above the lowest structure with this stoichiometry = 0.751 eV/atom
Final energy = -3.40 eV/atom
Formation enthalpy at 0 K = 561 meV per atom
Crystal system = trigonal


Entry 4:
## CsNaAg2 (GGA-PBEsol)

Data for a relaxed structure of CsNaAg2.

```
data_CsNaAg2
_chemical_formula_sum 'Cs4 Na4 Ag8'
_cell_length_a 8.031
_cell_length_b 8.031
_cell_length_c 8.031
_cell_angle_alpha 90.00
_cell_angle_beta 90.00
_cell_angle_gamma 90.00
_symmetry_space_group_name_H-M 'F m -3 m'
_symmetry_Int_Tables_number 225
_symmetry_space_group_name_Hall '-F 4 2 3'
loop_
_atom_site_label
_atom_site_type_symbol
_atom_site_fract_x
_atom_site_fract_y
_atom_site_fract_z
Cs1 Cs 0.000 0.000 0.000
Na1 Na 0.000 0.000 0.500
Ag1 Ag 0.250 0.250 0.250
```

Output
Mass density = 4.8 g/cm3
Final energy = -1.89 eV/atom
Formation enthalpy at 0 K = 349 meV per atom
Crystal system = cubic